Entry 1:
A relaxed structure of ZnHg2Au2. Source: Alexandria via LeMat-Bulk, functional PBE.

Calculated values
- polymorph energy (0 for the lowest one) (meV/atom) = 94
- spin magnetization (μB/f.u.) = 0.0
- formation energy from the elements (eV per atom) = 0.140

Cell: 3.885 3.885 14.714 Å, 90.00 90.00 90.00°
Space group I4/mmm (No. 139)
Symmetry-distinct sites (fractional):
Zn 0.000 0.000 0.000 [2 per cell]
Hg 0.000 0.000 0.403 [4 per cell]
Au 0.000 0.500 0.250 [4 per cell]

=====

Entry 2:
A relaxed structure of Zn2HgAu. Source: Alexandria via LeMat-Bulk, functional PBE.

Calculated values
- spin magnetization (μB/f.u.) = 0.0
- formation energy from the elements (eV per atom) = 0.049

Cell: 4.106 4.284 8.227 Å, 90.00 90.00 90.00°
Space group Cmm2 (No. 35)
Symmetry-distinct sites (fractional):
Zn 0.000 0.000 0.000 [2 per cell]
Zn 0.000 0.500 0.214 [2 per cell]
Hg 0.000 0.500 0.729 [2 per cell]
Au 0.000 0.000 0.434 [2 per cell]

=====

Entry 3:
A relaxed structure of Zn3HgAu3. Source: Alexandria via LeMat-Bulk, functional PBE.

Calculated values
- spin magnetization (μB/f.u.) = 0.0
- formation energy from the elements (eV per atom) = 0.177

Cell: 7.217 7.217 7.217 Å, 90.00 90.00 90.00°
Space group Pm-3n (No. 223)
Symmetry-distinct sites (fractional):
Zn 0.000 0.250 0.500 [6 per cell]
Hg 0.000 0.000 0.000 [2 per cell]
Au 0.000 0.500 0.250 [6 per cell]

=====

Entry 4:
A relaxed structure of Zn2HgAu. Source: Alexandria via LeMat-Bulk, functional PBE.

Calculated values
- spin magnetization (μB/f.u.) = 0.0
- formation energy from the elements (eV per atom) = 0.044

Cell: 2.911 5.667 9.245 Å, 90.00 90.00 90.00°
Space group Cmmm (No. 65)
Symmetry-distinct sites (fractional):
Zn 0.000 0.000 0.238 [4 per cell]
Hg 0.000 0.500 0.500 [2 per cell]
Au 0.000 0.500 0.000 [2 per cell]

=====

Entry 5:
A relaxed structure of Zn2HgAu. Source: Alexandria via LeMat-Bulk, functional PBE.

Calculated values
- spin magnetization (μB/f.u.) = 0.0
- formation energy from the elements (eV per atom) = 0.037

Cell: 2.885 4.561 5.853 Å, 90.00 90.00 90.00°
Space group Pmmm (No. 47)
Symmetry-distinct sites (fractional):
Zn 0.000 0.000 0.000 [1 per cell]
Zn 0.500 0.000 0.500 [1 per cell]
Hg 0.000 0.500 0.500 [1 per cell]
Au 0.500 0.500 0.000 [1 per cell]

=====

Entry 6:
A relaxed structure of Zn2HgAu. Source: Alexandria via LeMat-Bulk, functional PBE.

Calculated values
- spin magnetization (μB/f.u.) = 0.0
- formation energy from the elements (eV per atom) = 0.016

Cell: 3.3809 3.3809 23.6049 Å, 90.00 90.00 120.00°
Space group R-3m (No. 166, hexagonal axes)
Symmetry-distinct sites (fractional):
Zn 0.0000 0.0000 0.2443 [6 per cell]
Hg 0.0000 0.0000 0.0000 [3 per cell]
Au 0.0000 0.0000 0.5000 [3 per cell]

=====

Entry 7:
A relaxed structure of Zn4HgAu. Source: Alexandria via LeMat-Bulk, functional PBE.

Calculated values
- spin magnetization (μB/f.u.) = 0.0
- formation energy from the elements (eV per atom) = 0.038

Cell: 7.354 7.354 7.354 Å, 90.00 90.00 90.00°
Space group F-43m (No. 216)
Symmetry-distinct sites (fractional):
Zn 0.125 0.125 0.125 [16 per cell]
Hg 0.000 0.000 0.500 [4 per cell]
Au 0.250 0.250 0.750 [4 per cell]

=====

Entry 8:
A relaxed structure of Zn2HgAu. Source: Alexandria via LeMat-Bulk, functional PBE.

Calculated values
- spin magnetization (μB/f.u.) = 0.0
- formation energy from the elements (eV per atom) = -0.010

Cell: 3.402 3.402 6.161 Å, 90.00 90.00 90.00°
Space group P4/mmm (No. 123)
Symmetry-distinct sites (fractional):
Zn 0.000 0.000 0.226 [2 per cell]
Hg 0.500 0.500 0.500 [1 per cell]
Au 0.500 0.500 0.000 [1 per cell]

=====

Entry 9:
A relaxed structure of Zn2HgAu. Source: Alexandria via LeMat-Bulk, functional PBE.

Calculated values
- spin magnetization (μB/f.u.) = 0.0
- formation energy from the elements (eV per atom) = 0.011

Cell: 3.9600 3.9600 18.1709 Å, 90.00 90.00 120.00°
Space group R3m (No. 160, hexagonal axes)
Symmetry-distinct sites (fractional):
Zn 0.0000 0.0000 0.0000 [3 per cell]
Zn 0.0000 0.0000 0.1872 [3 per cell]
Hg 0.0000 0.0000 0.4235 [3 per cell]
Au 0.0000 0.0000 0.5936 [3 per cell]

=====

Entry 10:
A relaxed structure of ZnHgAu14. Source: Alexandria via LeMat-Bulk, functional PBE.

Calculated values
- spin magnetization (μB/f.u.) = 0.0
- formation energy from the elements (eV per atom) = -0.014

Cell: 6.143 6.143 7.688 Å, 90.00 90.00 90.00°
Space group P4/mmm (No. 123)
Symmetry-distinct sites (fractional):
Zn 0.000 0.000 0.000 [1 per cell]
Hg 0.500 0.500 0.000 [1 per cell]
Au 0.000 0.000 0.500 [1 per cell]
Au 0.000 0.500 0.000 [2 per cell]
Au 0.000 0.500 0.500 [2 per cell]
Au 0.244 0.244 0.248 [8 per cell]
Au 0.500 0.500 0.500 [1 per cell]

=====

Entry 11:
A relaxed structure of Zn2HgAu. Source: Alexandria via LeMat-Bulk, functional PBE.

Calculated values
- spin magnetization (μB/f.u.) = 0.0
- formation energy from the elements (eV per atom) = 0.032

Cell: 2.887 5.849 9.178 Å, 90.00 90.00 90.00°
Space group Immm (No. 71)
Symmetry-distinct sites (fractional):
Zn 0.000 0.000 0.240 [4 per cell]
Hg 0.000 0.500 0.000 [2 per cell]
Au 0.000 0.500 0.500 [2 per cell]

=====

Entry 12:
A relaxed structure of ZnHgAu2. Source: Alexandria via LeMat-Bulk, functional PBE.

Calculated values
- spin magnetization (μB/f.u.) = 0.0
- formation energy from the elements (eV per atom) = 0.040

Cell: 7.596 7.596 5.542 Å, 90.00 90.00 90.00°
Space group I-42d (No. 122)
Symmetry-distinct sites (fractional):
Zn 0.000 0.000 0.000 [4 per cell]
Hg 0.000 0.000 0.500 [4 per cell]
Au 0.220 0.250 0.125 [8 per cell]

=====

Entry 13:
A relaxed structure of Zn2Hg2Au. Source: Alexandria via LeMat-Bulk, functional PBE.

Calculated values
- polymorph energy (0 for the lowest one) (meV/atom) = 122
- spin magnetization (μB/f.u.) = 0.0
- formation energy from the elements (eV per atom) = 0.174

Cell: 7.460 7.460 3.685 Å, 90.00 90.00 90.00°
Space group P4/mbm (No. 127)
Symmetry-distinct sites (fractional):
Zn 0.149 0.351 0.000 [4 per cell]
Hg 0.153 0.653 0.500 [4 per cell]
Au 0.000 0.000 0.500 [2 per cell]

=====

Entry 14:
A relaxed structure of ZnHg2Au2. Source: Alexandria via LeMat-Bulk, functional PBE.

Calculated values
- polymorph energy (0 for the lowest one) (meV/atom) = 156
- spin magnetization (μB/f.u.) = 0.0
- formation energy from the elements (eV per atom) = 0.202

Cell: 3.964 3.964 14.195 Å, 90.00 90.00 90.00°
Space group I4/mmm (No. 139)
Symmetry-distinct sites (fractional):
Zn 0.000 0.000 0.000 [2 per cell]
Hg 0.000 0.500 0.250 [4 per cell]
Au 0.000 0.000 0.407 [4 per cell]